1.
Compound: HfZr2Tc
Source: Alexandria via LeMat-Bulk
Functional: PBE-GGA
Structure: relaxed

Space-group type: P4/mmm
ΔH_f (0 K) (meV per atom): -176
Uncorrected energy (eV for the cell shown): -38.12

The structure in CIF format:
```
data_HfZr2Tc
_cell_length_a 3.3151
_cell_length_b 3.3151
_cell_length_c 7.3748
_cell_angle_alpha 90.00
_cell_angle_beta 90.00
_cell_angle_gamma 90.00
_space_group_name_H-M_alt 'P 1'
_space_group_IT_number 1
_space_group_name_Hall 'P 1'
loop_
_atom_site_label
_atom_site_fract_x
_atom_site_fract_y
_atom_site_fract_z
Hf1 0.5000 0.5000 0.5000
Tc1 0.5000 0.5000 0.0000
Zr1 0.0000 0.0000 0.7831
Zr2 0.0000 0.0000 0.2169
```

2.
Compound: HfZr2Tc
Source: Alexandria via LeMat-Bulk
Functional: PBE-GGA
Structure: relaxed

Space-group type: Fm-3m
ΔH_f (0 K) (meV per atom): -16
Uncorrected energy (eV for the cell shown): -37.48

The structure in CIF format:
```
data_HfZr2Tc
_cell_length_a 4.8227
_cell_length_b 4.8227
_cell_length_c 4.8227
_cell_angle_alpha 60.00
_cell_angle_beta 60.00
_cell_angle_gamma 60.00
_space_group_name_H-M_alt 'P 1'
_space_group_IT_number 1
_space_group_name_Hall 'P 1'
loop_
_atom_site_label
_atom_site_fract_x
_atom_site_fract_y
_atom_site_fract_z
Hf1 0.5000 0.5000 0.5000
Tc1 0.0000 0.0000 0.0000
Zr1 0.2500 0.2500 0.2500
Zr2 0.7500 0.7500 0.7500
```

3.
Compound: Hf3ZrTc
Source: Alexandria via LeMat-Bulk
Functional: PBE-GGA
Structure: relaxed

Space-group type: Pm-3m
ΔH_f (0 K) (meV per atom): 1647
Uncorrected energy (eV for the cell shown): -40.54

The structure in CIF format:
```
data_Hf3ZrTc
_cell_length_a 4.9497
_cell_length_b 4.9497
_cell_length_c 4.9497
_cell_angle_alpha 90.00
_cell_angle_beta 90.00
_cell_angle_gamma 90.00
_space_group_name_H-M_alt 'P 1'
_space_group_IT_number 1
_space_group_name_Hall 'P 1'
loop_
_atom_site_label
_atom_site_fract_x
_atom_site_fract_y
_atom_site_fract_z
Hf1 0.0000 0.5000 0.0000
Hf2 0.0000 0.0000 0.5000
Hf3 0.5000 0.0000 0.0000
Tc1 0.5000 0.5000 0.5000
Zr1 0.0000 0.0000 0.0000
```

4.
Compound: HfZr5Tc6
Source: Alexandria via LeMat-Bulk
Functional: PBE-GGA
Structure: relaxed

Space-group type: Cmmm
ΔH_f (0 K) (meV per atom): -376
Uncorrected energy (eV for the cell shown): -119.40

The structure in CIF format:
```
data_HfZr5Tc6
_cell_length_a 4.6527
_cell_length_b 6.5796
_cell_length_c 7.3544
_cell_angle_alpha 90.00
_cell_angle_beta 71.51
_cell_angle_gamma 90.00
_space_group_name_H-M_alt 'P 1'
_space_group_IT_number 1
_space_group_name_Hall 'P 1'
loop_
_atom_site_label
_atom_site_fract_x
_atom_site_fract_y
_atom_site_fract_z
Hf1 0.0000 0.0000 0.0000
Tc1 0.8338 0.7505 0.3325
Tc2 0.8338 0.2495 0.3325
Tc3 0.5000 0.2487 0.0000
Tc4 0.5000 0.7513 0.0000
Tc5 0.1662 0.7505 0.6675
Tc6 0.1662 0.2495 0.6675
Zr1 0.6665 0.5000 0.6668
Zr2 0.3339 0.0000 0.3321
Zr3 0.0000 0.5000 0.0000
Zr4 0.6661 0.0000 0.6679
Zr5 0.3335 0.5000 0.3332
```

5.
Compound: Hf2ZrTc2
Source: Alexandria via LeMat-Bulk
Functional: PBE-GGA
Structure: relaxed

Space-group type: P4/mbm
ΔH_f (0 K) (meV per atom): -164
Uncorrected energy (eV for the cell shown): -100.01

The structure in CIF format:
```
data_Hf2ZrTc2
_cell_length_a 7.5687
_cell_length_b 7.5687
_cell_length_c 3.3590
_cell_angle_alpha 90.00
_cell_angle_beta 90.00
_cell_angle_gamma 90.00
_space_group_name_H-M_alt 'P 1'
_space_group_IT_number 1
_space_group_name_Hall 'P 1'
loop_
_atom_site_label
_atom_site_fract_x
_atom_site_fract_y
_atom_site_fract_z
Hf1 0.1492 0.6492 0.5000
Hf2 0.6492 0.8508 0.5000
Hf3 0.8508 0.3508 0.5000
Hf4 0.3508 0.1492 0.5000
Tc1 0.3509 0.8509 0.0000
Tc2 0.8509 0.6491 0.0000
Tc3 0.6491 0.1491 0.0000
Tc4 0.1491 0.3509 0.0000
Zr1 0.0000 0.0000 0.0000
Zr2 0.5000 0.5000 0.0000
```

6.
Compound: HfZrTc2
Source: Alexandria via LeMat-Bulk
Functional: PBE-GGA
Structure: relaxed

Space-group type: Fm-3m
ΔH_f (0 K) (meV per atom): -418
Uncorrected energy (eV for the cell shown): -40.91

The structure in CIF format:
```
data_HfZrTc2
_cell_length_a 4.6360
_cell_length_b 4.6360
_cell_length_c 4.6360
_cell_angle_alpha 60.00
_cell_angle_beta 60.00
_cell_angle_gamma 60.00
_space_group_name_H-M_alt 'P 1'
_space_group_IT_number 1
_space_group_name_Hall 'P 1'
loop_
_atom_site_label
_atom_site_fract_x
_atom_site_fract_y
_atom_site_fract_z
Hf1 0.5000 0.5000 0.5000
Tc1 0.2500 0.2500 0.2500
Tc2 0.7500 0.7500 0.7500
Zr1 0.0000 0.0000 0.0000
```

7.
Compound: Hf2ZrTc
Source: Alexandria via LeMat-Bulk
Functional: PBE-GGA
Structure: relaxed

Space-group type: P4/mmm
ΔH_f (0 K) (meV per atom): -260
Uncorrected energy (eV for the cell shown): -39.86

The structure in CIF format:
```
data_Hf2ZrTc
_cell_length_a 3.2964
_cell_length_b 3.2964
_cell_length_c 7.3901
_cell_angle_alpha 90.00
_cell_angle_beta 90.00
_cell_angle_gamma 90.00
_space_group_name_H-M_alt 'P 1'
_space_group_IT_number 1
_space_group_name_Hall 'P 1'
loop_
_atom_site_label
_atom_site_fract_x
_atom_site_fract_y
_atom_site_fract_z
Hf1 0.0000 0.0000 0.7884
Hf2 0.0000 0.0000 0.2116
Tc1 0.5000 0.5000 0.0000
Zr1 0.5000 0.5000 0.5000
```

8.
Compound: HfZrTc2
Source: Alexandria via LeMat-Bulk
Functional: PBE-GGA
Structure: relaxed

Space-group type: P4/mmm
ΔH_f (0 K) (meV per atom): -415
Uncorrected energy (eV for the cell shown): -40.89

The structure in CIF format:
```
data_HfZrTc2
_cell_length_a 3.2688
_cell_length_b 4.6449
_cell_length_c 4.6449
_cell_angle_alpha 90.00
_cell_angle_beta 90.00
_cell_angle_gamma 90.00
_space_group_name_H-M_alt 'P 1'
_space_group_IT_number 1
_space_group_name_Hall 'P 1'
loop_
_atom_site_label
_atom_site_fract_x
_atom_site_fract_y
_atom_site_fract_z
Hf1 0.5000 0.5000 0.5000
Tc1 0.0000 0.0000 0.5000
Tc2 0.0000 0.5000 0.0000
Zr1 0.5000 0.0000 0.0000
```

9.
Compound: Hf3ZrTc
Source: Alexandria via LeMat-Bulk
Functional: PBE-GGA
Structure: relaxed

Space-group type: Pm-3m
ΔH_f (0 K) (meV per atom): 448
Uncorrected energy (eV for the cell shown): -46.53

The structure in CIF format:
```
data_Hf3ZrTc
_cell_length_a 4.9637
_cell_length_b 4.9637
_cell_length_c 4.9637
_cell_angle_alpha 90.00
_cell_angle_beta 90.00
_cell_angle_gamma 90.00
_space_group_name_H-M_alt 'P 1'
_space_group_IT_number 1
_space_group_name_Hall 'P 1'
loop_
_atom_site_label
_atom_site_fract_x
_atom_site_fract_y
_atom_site_fract_z
Hf1 0.0000 0.5000 0.0000
Hf2 0.0000 0.0000 0.5000
Hf3 0.5000 0.0000 0.0000
Tc1 0.0000 0.0000 0.0000
Zr1 0.5000 0.5000 0.5000
```

10.
Compound: HfZr4Tc
Source: Alexandria via LeMat-Bulk
Functional: PBE-GGA
Structure: relaxed

Space-group type: C2/m
ΔH_f (0 K) (meV per atom): -133
Uncorrected energy (eV for the cell shown): -55.31

The structure in CIF format:
```
data_HfZr4Tc
_cell_length_a 4.8789
_cell_length_b 5.7691
_cell_length_c 5.8369
_cell_angle_alpha 62.55
_cell_angle_beta 65.30
_cell_angle_gamma 64.99
_space_group_name_H-M_alt 'P 1'
_space_group_IT_number 1
_space_group_name_Hall 'P 1'
loop_
_atom_site_label
_atom_site_fract_x
_atom_site_fract_y
_atom_site_fract_z
Hf1 0.0000 0.5000 0.5000
Zr1 0.6472 0.0124 0.6932
Zr2 0.3528 0.9876 0.3068
Zr3 0.7049 0.4407 0.1494
Zr4 0.2951 0.5593 0.8506
Tc1 0.0000 0.0000 0.0000
```

11.
Compound: HfZr2Tc
Source: Alexandria via LeMat-Bulk
Functional: PBE-GGA
Structure: relaxed

Space-group type: P4/mmm
ΔH_f (0 K) (meV per atom): -29
Uncorrected energy (eV for the cell shown): -37.53

The structure in CIF format:
```
data_HfZr2Tc
_cell_length_a 3.4172
_cell_length_b 4.8327
_cell_length_c 4.8327
_cell_angle_alpha 90.00
_cell_angle_beta 90.00
_cell_angle_gamma 90.00
_space_group_name_H-M_alt 'P 1'
_space_group_IT_number 1
_space_group_name_Hall 'P 1'
loop_
_atom_site_label
_atom_site_fract_x
_atom_site_fract_y
_atom_site_fract_z
Hf1 0.5000 0.0000 0.0000
Tc1 0.5000 0.5000 0.5000
Zr1 0.0000 0.0000 0.5000
Zr2 0.0000 0.5000 0.0000
```

12.
Compound: Hf2ZrTc3
Source: Alexandria via LeMat-Bulk
Functional: PBE-GGA
Structure: relaxed

Space-group type: P4/mmm
ΔH_f (0 K) (meV per atom): -435
Uncorrected energy (eV for the cell shown): -62.16

The structure in CIF format:
```
data_Hf2ZrTc3
_cell_length_a 3.2732
_cell_length_b 3.2732
_cell_length_c 9.8214
_cell_angle_alpha 90.00
_cell_angle_beta 90.00
_cell_angle_gamma 90.00
_space_group_name_H-M_alt 'P 1'
_space_group_IT_number 1
_space_group_name_Hall 'P 1'
loop_
_atom_site_label
_atom_site_fract_x
_atom_site_fract_y
_atom_site_fract_z
Hf1 0.5000 0.5000 0.8345
Hf2 0.5000 0.5000 0.1655
Zr1 0.5000 0.5000 0.5000
Tc1 0.0000 0.0000 0.0000
Tc2 0.0000 0.0000 0.6686
Tc3 0.0000 0.0000 0.3314
```

Q: The lowest ΔH_f (0 K) belongs to which entry?
A: Hf2ZrTc3

Q: Which value of uncorrected energy does entry 3 give?
A: -40.54 eV for the cell shown

Q: Among the records above, which one has the lowest ΔH_f (0 K)?
A: Hf2ZrTc3

Copy entry 7 word for word.
Compound: Hf2ZrTc
Source: Alexandria via LeMat-Bulk
Functional: PBE-GGA
Structure: relaxed

Space-group type: P4/mmm
ΔH_f (0 K) (meV per atom): -260
Uncorrected energy (eV for the cell shown): -39.86

The structure in CIF format:
```
data_Hf2ZrTc
_cell_length_a 3.2964
_cell_length_b 3.2964
_cell_length_c 7.3901
_cell_angle_alpha 90.00
_cell_angle_beta 90.00
_cell_angle_gamma 90.00
_space_group_name_H-M_alt 'P 1'
_space_group_IT_number 1
_space_group_name_Hall 'P 1'
loop_
_atom_site_label
_atom_site_fract_x
_atom_site_fract_y
_atom_site_fract_z
Hf1 0.0000 0.0000 0.7884
Hf2 0.0000 0.0000 0.2116
Tc1 0.5000 0.5000 0.0000
Zr1 0.5000 0.5000 0.5000
```